VASP calculation (PBE-GGA) on a relaxed PuTeAs crystal.

a = 4.1429 Å, b = 4.1429 Å, c = 17.5240 Å
α = 90.00°, β = 90.00°, γ = 90.00°
With the nearest neighbours (Å) after each atom.
Space group I4/mmm (No. 139)
Inequivalent atoms, fractional coordinates:
Pu (0.0000, 0.0000, 0.1214) (multiplicity 4)  4 As 2.97, 4 Te 3.14
Te (0.0000, 0.0000, 0.3147) (multiplicity 4)  5 Pu 3.14-3.39
As (0.0000, 0.5000, 0.0000) (multiplicity 4)  4 As 2.93, 4 Pu 2.97

Properties
E_form (uncorrected), meV per atom: -867
M_tot, μB per formula unit: 4.62
Fermi-level density of states, states/eV per cell: 35.72
Volume, A^3/atom: 25.06